# 1
First-principles (PBE-GGA) data for a relaxed structure of Ca4InOs, as listed in Alexandria via LeMat-Bulk.

Summary:
Mass density, g/cm³: 4.9
Final energy, eV/atom: -2.829
Size of the total moment, μB/atom: 0.00

Unit cell a=6.056 b=6.056 c=6.056 alpha=60.00 beta=60.00 gamma=60.00
Fractional coordinates of all 6 atoms:
Ca  0.374  0.879  0.374
Ca  0.879  0.374  0.374
Ca  0.374  0.374  0.374
Ca  0.374  0.374  0.879
In  0.750  0.750  0.750
Os  0.000  0.000  0.000

# 2
First-principles (PBE-GGA) data for a relaxed structure of RbMnRh3, as listed in Alexandria via LeMat-Bulk.

Summary:
Mass density, g/cm³: 7.6
Final energy, eV/atom: -5.552
Size of the total moment, μB/atom: 0.00
ΔE to the lowest computed polymorph, kJ per mole of atoms: 0.0

Unit cell a=4.618 b=4.618 c=4.618 alpha=90.00 beta=90.00 gamma=90.00
Fractional coordinates of all 5 atoms:
Rh  0.500  0.000  0.000
Rh  0.000  0.000  0.500
Rh  0.000  0.500  0.000
Rb  0.500  0.500  0.500
Mn  0.000  0.000  0.000

# 3
First-principles (PBE-GGA) data for a relaxed structure of Ce2In3Au2, as listed in Alexandria via LeMat-Bulk.

Summary:
Mass density, g/cm³: 9.5
Final energy, eV/atom: -4.264
Size of the total moment, μB/atom: 0.29

Unit cell a=3.600 b=4.682 c=10.814 alpha=102.50 beta=90.00 gamma=90.00
Fractional coordinates of all 7 atoms:
In  0.000  0.000  0.000
In  0.500  0.573  0.146
In  0.500  0.427  0.854
Ce  0.000  0.837  0.675
Ce  0.000  0.163  0.325
Au  0.500  0.289  0.577
Au  0.500  0.711  0.423

Among the records above, which one has the highest mass density? Ce2In3Au2

What is the mass density in the first record? 4.9 g/cm³

What is the formula in the first record? Ca4InOs

Among the records above, which one has the lowest mass density? Ca4InOs